(1)
First-principles (GGA-PBE) data for crystalline TbPr3In3 at its relaxed geometry, as listed in Alexandria.

a = 6.816 Å, b = 6.816 Å, c = 9.917 Å
α = 91.00°, β = 91.00°, γ = 104.90°
Element x y z (fractional)
Tb1 0.219 0.219 0.460
Tb2 0.781 0.781 0.540
Pr1 0.091 0.091 0.819
Pr2 0.265 0.735 0.500
Pr3 0.320 0.680 0.000
Pr4 0.680 0.320 0.000
Pr5 0.735 0.265 0.500
Pr6 0.909 0.909 0.181
In1 0.020 0.450 0.240
In2 0.450 0.020 0.240
In3 0.477 0.477 0.731
In4 0.523 0.523 0.269
In5 0.550 0.980 0.760
In6 0.980 0.550 0.760

## Properties
The excess energy over the best structure of this formula in the dataset comes out at 57 meV per atom. The calculation puts the magnetization at 0.0 μB per formula unit. For the density of states at the Fermi level, the calculation gives 1.20 states/eV per atom. Its space group is C2/m. For the total energy, the calculation gives -4.16 eV/atom. For the energy of formation, the calculation gives -1.94 eV per formula unit.

=====

(2)
First-principles (GGA-PBE) data for crystalline Tb4PrIn5 at its relaxed geometry, as listed in Alexandria.

a = 3.793 Å, b = 3.793 Å, c = 19.065 Å
α = 90.00°, β = 90.00°, γ = 90.00°
Element x y z (fractional)
Tb1 0.000 0.000 0.098
Tb2 0.000 0.000 0.294
Tb3 0.000 0.000 0.706
Tb4 0.000 0.000 0.902
Pr1 0.000 0.000 0.500
In1 0.500 0.500 0.000
In2 0.500 0.500 0.196
In3 0.500 0.500 0.392
In4 0.500 0.500 0.608
In5 0.500 0.500 0.804

## Properties
The calculation puts the magnetization at 0.0 μB per formula unit. For the density of states at the Fermi level, the calculation gives 0.56 states/eV per atom. Its space group is P4/mmm. For the total energy, the calculation gives -4.18 eV/atom. For the energy of formation, the calculation gives -4.81 eV per formula unit.

=====

(3)
First-principles (GGA-PBE) data for crystalline Tb4PrIn3 at its relaxed geometry, as listed in Alexandria.

a = 9.056 Å, b = 9.056 Å, c = 9.056 Å
α = 157.58°, β = 121.75°, γ = 63.22°
Element x y z (fractional)
Tb1 0.057 0.860 0.197
Tb2 0.337 0.140 0.197
Tb3 0.663 0.860 0.803
Tb4 0.943 0.140 0.803
Pr1 0.500 0.000 0.500
In1 0.000 0.500 0.500
In2 0.313 0.313 0.000
In3 0.687 0.687 0.000

## Properties
The calculation puts the magnetization at 0.0 μB per formula unit. For the density of states at the Fermi level, the calculation gives 1.10 states/eV per atom. Its space group is Immm. For the total energy, the calculation gives -4.17 eV/atom. For the energy of formation, the calculation gives -1.85 eV per formula unit.

=====

(4)
First-principles (GGA-PBE) data for crystalline Tb2PrIn at its relaxed geometry, as listed in Alexandria.

a = 5.522 Å, b = 5.522 Å, c = 5.522 Å
α = 60.00°, β = 60.00°, γ = 60.00°
Element x y z (fractional)
Tb1 0.250 0.250 0.250
Tb2 0.750 0.750 0.750
Pr1 0.000 0.000 0.000
In1 0.500 0.500 0.500

## Properties
The excess energy over the best structure of this formula in the dataset comes out at 167 meV per atom. The calculation puts the magnetization at 1.5 μB per formula unit. For the density of states at the Fermi level, the calculation gives 1.51 states/eV per atom. Its space group is Fm-3m. For the total energy, the calculation gives -4.29 eV/atom. For the energy of formation, the calculation gives -0.39 eV per formula unit.

=====

(5)
First-principles (GGA-PBE) data for crystalline TbPr4In2 at its relaxed geometry, as listed in Alexandria.

a = 7.766 Å, b = 7.766 Å, c = 7.766 Å
α = 134.40°, β = 134.40°, γ = 66.46°
Element x y z (fractional)
Tb1 0.000 0.000 0.000
Pr1 0.000 0.500 0.500
Pr2 0.250 0.750 0.500
Pr3 0.500 0.000 0.500
Pr4 0.750 0.250 0.500
In1 0.378 0.378 0.000
In2 0.622 0.622 0.000

## Properties
The excess energy over the best structure of this formula in the dataset comes out at 184 meV per atom. The calculation puts the magnetization at 0.0 μB per formula unit. For the density of states at the Fermi level, the calculation gives 1.46 states/eV per atom. Its space group is I4/mmm. For the total energy, the calculation gives -4.10 eV/atom. For the energy of formation, the calculation gives 0.55 eV per formula unit.

=====

(6)
First-principles (GGA-PBE) data for crystalline TbPr3In2 at its relaxed geometry, as listed in Alexandria.

a = 5.359 Å, b = 10.173 Å, c = 6.890 Å
α = 90.00°, β = 90.00°, γ = 90.00°
Element x y z (fractional)
Tb1 0.000 0.040 0.000
Tb2 0.000 0.960 0.500
Pr1 0.000 0.319 0.664
Pr2 0.000 0.681 0.164
Pr3 0.500 0.173 0.275
Pr4 0.500 0.463 0.935
Pr5 0.500 0.537 0.435
Pr6 0.500 0.827 0.775
In1 0.000 0.353 0.181
In2 0.000 0.647 0.681
In3 0.500 0.143 0.760
In4 0.500 0.857 0.260

## Properties
The excess energy over the best structure of this formula in the dataset comes out at 0 meV per atom. The calculation puts the magnetization at 0.0 μB per formula unit. For the density of states at the Fermi level, the calculation gives 1.11 states/eV per atom. Its space group is Pmc2_1. For the total energy, the calculation gives -4.42 eV/atom. For the energy of formation, the calculation gives -2.08 eV per formula unit.

=====

(7)
First-principles (GGA-PBE) data for crystalline Tb4Pr3In4 at its relaxed geometry, as listed in Alexandria.

a = 9.943 Å, b = 9.943 Å, c = 9.943 Å
α = 148.86°, β = 137.81°, γ = 53.36°
Element x y z (fractional)
Tb1 0.054 0.822 0.232
Tb2 0.411 0.178 0.232
Tb3 0.589 0.822 0.768
Tb4 0.946 0.178 0.768
Pr1 0.000 0.500 0.500
Pr2 0.395 0.395 0.000
Pr3 0.605 0.605 0.000
In1 0.180 0.680 0.500
In2 0.290 0.000 0.290
In3 0.710 0.000 0.710
In4 0.820 0.320 0.500

## Properties
The calculation puts the magnetization at 0.0 μB per formula unit. For the density of states at the Fermi level, the calculation gives 1.06 states/eV per atom. Its space group is Immm. For the total energy, the calculation gives -4.27 eV/atom. For the energy of formation, the calculation gives -3.16 eV per formula unit.

=====

(8)
First-principles (GGA-PBE) data for crystalline TbPrIn2 at its relaxed geometry, as listed in Alexandria.

a = 10.064 Å, b = 10.064 Å, c = 10.064 Å
α = 21.71°, β = 21.71°, γ = 21.71°
Element x y z (fractional)
Tb1 0.000 0.000 0.000
Pr1 0.500 0.500 0.500
In1 0.253 0.253 0.253
In2 0.747 0.747 0.747

## Properties
The calculation puts the magnetization at 0.0 μB per formula unit. For the density of states at the Fermi level, the calculation gives 0.53 states/eV per atom. Its space group is R-3m. For the total energy, the calculation gives -4.03 eV/atom. For the energy of formation, the calculation gives -1.25 eV per formula unit.

=====

(9)
First-principles (GGA-PBE) data for crystalline Tb2Pr5In2 at its relaxed geometry, as listed in Alexandria.

a = 10.338 Å, b = 10.338 Å, c = 10.338 Å
α = 75.79°, β = 116.98°, γ = 142.35°
Element x y z (fractional)
Tb1 0.000 0.000 0.000
Tb2 0.000 0.500 0.500
Tb3 0.176 0.943 0.734
Tb4 0.209 0.443 0.266
Pr1 0.028 0.485 0.843
Pr2 0.028 0.684 0.042
Pr3 0.451 0.251 0.316
Pr4 0.451 0.635 0.699
Pr5 0.578 0.446 0.632
Pr6 0.642 0.184 0.157
Pr7 0.642 0.985 0.958
Pr8 0.815 0.946 0.368
Pr9 0.935 0.135 0.684
Pr10 0.935 0.751 0.301
In1 0.424 0.538 0.059
In2 0.424 0.865 0.385
In3 0.480 0.038 0.615
In4 0.480 0.365 0.941

## Properties
The calculation puts the magnetization at 0.0 μB per formula unit. For the density of states at the Fermi level, the calculation gives 1.23 states/eV per atom. Its space group is Ima2. For the total energy, the calculation gives -4.36 eV/atom. For the energy of formation, the calculation gives -0.63 eV per formula unit.

=====

(10)
First-principles (GGA-PBE) data for crystalline Tb2Pr5In4 at its relaxed geometry, as listed in Alexandria.

a = 15.050 Å, b = 15.050 Å, c = 15.050 Å
α = 166.87°, β = 150.10°, γ = 32.78°
Element x y z (fractional)
Tb1 0.215 0.215 0.000
Tb2 0.785 0.785 0.000
Pr1 0.000 0.500 0.500
Pr2 0.125 0.890 0.235
Pr3 0.345 0.110 0.235
Pr4 0.655 0.890 0.765
Pr5 0.875 0.110 0.765
In1 0.321 0.321 0.000
In2 0.330 0.000 0.330
In3 0.670 0.000 0.670
In4 0.679 0.679 0.000

## Properties
The excess energy over the best structure of this formula in the dataset comes out at 424 meV per atom. The calculation puts the magnetization at 0.0 μB per formula unit. For the density of states at the Fermi level, the calculation gives 1.12 states/eV per atom. Its space group is Immm. For the total energy, the calculation gives -3.88 eV/atom. For the energy of formation, the calculation gives 1.39 eV per formula unit.